Ac2CeO5 after structural relaxation, computed with PBE.

Summary:
E   -8.222 eV per atom

Cell lengths 10.5563, 7.3082, 6.5665 Å; angles 90.00, 90.00, 90.00 degrees
With the nearest neighbours (Å) after each atom.
Space group Pnma (No. 62)
Asymmetric unit:
1 Ac 0.1711 0.0020 0.0228 x8  8 O 2.57-2.77
2 Ce 0.0028 0.2500 0.5404 x4  6 O 2.31-2.34
3 O 0.0047 0.2500 0.9463 x4  4 Ac 2.57-2.62, 1 Ce 2.67, 1 O 2.83
4 O 0.0910 0.5209 0.6511 x8  2 Ce 2.31-2.32
5 O 0.1857 0.2500 0.3417 x4  1 Ce 2.33
6 O 0.2025 0.7500 0.3262 x4  1 Ce 2.34, 2 Ac 2.60


AcCeO4 after structural relaxation, computed with PBE.

Summary:
E   -8.004 eV per atom

Cell lengths 4.0800, 4.0800, 19.4667 Å; angles 90.00, 90.00, 120.00 degrees
With the nearest neighbours (Å) after each atom.
Space group R-3m (No. 166, hexagonal axes)
Asymmetric unit:
1 Ac 0.0000 0.0000 0.0000 x3  8 O 2.56-2.64
2 Ce 0.0000 0.0000 0.5000 x3  8 O 2.24-2.43
3 O 0.0000 0.0000 0.1355 x6  3 Ce 2.43, 1 Ac 2.64, 3 O 2.65
4 O 0.0000 0.0000 0.3850 x6  1 Ce 2.24


no.,formation energy (no corrections) (meV/atom)
1,-3354.1
2,-3024.4